[1]
FeReRh2: relaxed, PBEsol.

a b c (Å): 4.221 4.221 4.221
angles (deg): 60.00 60.00 60.00
Element x y z (fractional)
Fe: 0.000 0.000 0.000
Re: 0.750 0.750 0.750
Rh: 0.250 0.250 0.250
Rh: 0.500 0.500 0.500

Calculated values
E_tot, eV per atom: -9.387

[2]
SiRhBr: relaxed, PBEsol.

a b c (Å): 4.244 4.244 4.244
angles (deg): 60.00 60.00 60.00
Element x y z (fractional)
Si: 0.000 0.000 0.000
Rh: 0.750 0.750 0.750
Br: 0.500 0.500 0.500

Calculated values
Formation energy without anion corrections, eV/atom: 0.068

[3]
Mo3P: relaxed, PBEsol.

a b c (Å): 7.287 7.287 7.287
angles (deg): 96.21 96.21 141.58
Element x y z (fractional)
Mo: 0.000 0.355 0.355
Mo: 0.000 0.645 0.645
Mo: 0.066 0.066 0.597
Mo: 0.140 0.325 0.000
Mo: 0.325 0.140 0.000
Mo: 0.355 0.000 0.355
Mo: 0.469 0.469 0.403
Mo: 0.531 0.934 0.000
Mo: 0.645 0.000 0.645
Mo: 0.675 0.675 0.815
Mo: 0.860 0.860 0.185
Mo: 0.934 0.531 0.000
P: 0.208 0.500 0.708
P: 0.500 0.208 0.708
P: 0.500 0.792 0.292
P: 0.792 0.500 0.292

Calculated values
E_tot, eV per atom: -10.681

[4]
Bi3ClO4: relaxed, PBEsol.

a b c (Å): 3.911 3.911 8.953
angles (deg): 90.00 90.00 90.00
Element x y z (fractional)
Bi: 0.000 0.000 0.000
Bi: 0.500 0.500 0.288
Bi: 0.500 0.500 0.712
Cl: 0.000 0.000 0.500
O: 0.000 0.500 0.165
O: 0.000 0.500 0.835
O: 0.500 0.000 0.165
O: 0.500 0.000 0.835

Calculated values
Formation energy without anion corrections, eV/atom: -1.281

[5]
CaMgSe2: relaxed, PBEsol.

a b c (Å): 6.578 6.578 6.578
angles (deg): 115.79 115.79 97.46
Element x y z (fractional)
Ca: 0.000 0.000 0.000
Ca: 0.750 0.250 0.500
Mg: 0.250 0.750 0.500
Mg: 0.500 0.500 0.000
Se: 0.156 0.625 0.031
Se: 0.375 0.406 0.531
Se: 0.594 0.125 0.969
Se: 0.875 0.844 0.469

Calculated values
Formation energy without anion corrections, eV/atom: -1.469

[6]
CaAgP2: relaxed, PBEsol.

a b c (Å): 5.530 5.530 5.530
angles (deg): 144.72 131.00 61.81
Element x y z (fractional)
Ca: 0.000 0.000 0.000
Ag: 0.706 0.206 0.500
P: 0.289 0.789 0.500
P: 0.468 0.468 0.000

Calculated values
E_tot, eV per atom: -4.543

[7]
CdReSe2: relaxed, PBEsol.

a b c (Å): 4.583 4.583 4.583
angles (deg): 60.00 60.00 60.00
Element x y z (fractional)
Cd: 0.000 0.000 0.000
Re: 0.500 0.500 0.500
Se: 0.250 0.250 0.250
Se: 0.750 0.750 0.750

Calculated values
Formation energy without anion corrections, eV/atom: 0.448

[8]
Tc2SbTe: relaxed, PBEsol.

a b c (Å): 4.459 4.459 5.526
angles (deg): 102.24 102.24 41.46
Element x y z (fractional)
Tc: 0.246 0.246 0.267
Tc: 0.754 0.754 0.733
Sb: 0.500 0.500 0.000
Te: 0.000 0.000 0.500

Calculated values
Formation energy without anion corrections, eV/atom: 0.294

[9]
DyCo3: relaxed, PBEsol.

a b c (Å): 8.472 8.472 8.472
angles (deg): 33.41 33.41 33.41
Element x y z (fractional)
Dy: 0.000 0.000 0.000
Dy: 0.140 0.140 0.140
Dy: 0.860 0.860 0.860
Co: 0.080 0.582 0.582
Co: 0.334 0.334 0.334
Co: 0.418 0.418 0.920
Co: 0.418 0.920 0.418
Co: 0.500 0.500 0.500
Co: 0.582 0.080 0.582
Co: 0.582 0.582 0.080
Co: 0.666 0.666 0.666
Co: 0.920 0.418 0.418

Calculated values
E_tot, eV per atom: -7.225

[10]
NiGe3N: relaxed, PBEsol.

a b c (Å): 4.383 4.383 4.383
angles (deg): 90.00 90.00 90.00
Element x y z (fractional)
Ni: 0.000 0.000 0.000
Ge: 0.000 0.000 0.500
Ge: 0.000 0.500 0.000
Ge: 0.500 0.000 0.000
N: 0.500 0.500 0.500

Calculated values
Formation energy without anion corrections, eV/atom: 0.976

[11]
HfTi2CCl: relaxed, PBEsol.

a b c (Å): 5.014 5.014 4.082
angles (deg): 90.00 90.00 90.00
Element x y z (fractional)
Hf: 0.000 0.000 0.000
Ti: 0.000 0.500 0.000
Ti: 0.500 0.000 0.000
C: 0.000 0.000 0.500
Cl: 0.500 0.500 0.500

Calculated values
Formation energy without anion corrections, eV/atom: 1.316

[12]
CuP2Ir: relaxed, PBEsol.

a b c (Å): 3.541 3.844 4.350
angles (deg): 90.00 98.99 90.00
Element x y z (fractional)
Cu: 0.000 0.000 0.000
P: 0.349 0.500 0.195
P: 0.651 0.500 0.805
Ir: 0.500 0.000 0.500

Calculated values
E_tot, eV per atom: -6.461

[13]
NbPb3Br: relaxed, PBEsol.

a b c (Å): 5.504 5.504 5.504
angles (deg): 90.00 90.00 90.00
Element x y z (fractional)
Nb: 0.000 0.000 0.000
Pb: 0.000 0.500 0.500
Pb: 0.500 0.000 0.500
Pb: 0.500 0.500 0.000
Br: 0.500 0.500 0.500

Calculated values
Formation energy without anion corrections, eV/atom: 1.203

[14]
Ta2ZnP: relaxed, PBEsol.

a b c (Å): 2.924 2.924 7.782
angles (deg): 90.00 90.00 105.77
Element x y z (fractional)
Ta: 0.000 0.000 0.000
Ta: 0.500 0.500 0.279
Zn: 0.000 0.000 0.540
P: 0.500 0.500 0.775

Calculated values
E_tot, eV per atom: -8.159

[15]
Pm2W3O12: relaxed, PBEsol.

a b c (Å): 6.922 6.922 11.468
angles (deg): 100.71 100.71 111.85
Element x y z (fractional)
Pm: 0.042 0.289 0.093
Pm: 0.289 0.042 0.593
Pm: 0.711 0.958 0.407
Pm: 0.958 0.711 0.907
W: 0.134 0.866 0.250
W: 0.250 0.462 0.451
W: 0.462 0.250 0.951
W: 0.538 0.750 0.049
W: 0.750 0.538 0.549
W: 0.866 0.134 0.750
O: 0.082 0.661 0.109
O: 0.087 0.186 0.460
O: 0.105 0.461 0.303
O: 0.122 0.208 0.719
O: 0.186 0.087 0.960
O: 0.208 0.122 0.219
O: 0.229 0.663 0.561
O: 0.337 0.771 0.939
O: 0.339 0.918 0.391
O: 0.400 0.474 0.074
O: 0.461 0.105 0.803
O: 0.474 0.400 0.574
O: 0.526 0.600 0.426
O: 0.539 0.895 0.197
O: 0.600 0.526 0.926
O: 0.661 0.082 0.609
O: 0.663 0.229 0.061
O: 0.771 0.337 0.439
O: 0.792 0.878 0.781
O: 0.814 0.913 0.040
O: 0.878 0.792 0.281
O: 0.895 0.539 0.697
O: 0.913 0.814 0.540
O: 0.918 0.339 0.891

Calculated values
Formation energy without anion corrections, eV/atom: -2.605

[16]
ZrTcPt: relaxed, PBEsol.

a b c (Å): 4.350 4.350 4.350
angles (deg): 60.00 60.00 60.00
Element x y z (fractional)
Zr: 0.000 0.000 0.000
Tc: 0.500 0.500 0.500
Pt: 0.750 0.750 0.750

Calculated values
E_tot, eV per atom: -8.960

[17]
LaMg2Tl2: relaxed, PBEsol.

a b c (Å): 7.080 7.080 7.080
angles (deg): 142.39 142.39 54.24
Element x y z (fractional)
La: 0.000 0.000 0.000
Mg: 0.250 0.750 0.500
Mg: 0.750 0.250 0.500
Tl: 0.388 0.388 0.000
Tl: 0.612 0.612 0.000

Calculated values
E_tot, eV per atom: -3.105

[18]
Cu2AsRh: relaxed, PBEsol.

a b c (Å): 2.958 3.597 4.953
angles (deg): 90.00 90.00 90.00
Element x y z (fractional)
Cu: 0.000 0.000 0.249
Cu: 0.000 0.000 0.751
As: 0.500 0.500 0.500
Rh: 0.500 0.500 0.000

Calculated values
E_tot, eV per atom: -5.460

[19]
Fe2CuRu: relaxed, PBEsol.

a b c (Å): 3.591 3.591 3.625
angles (deg): 90.00 90.00 90.00
Element x y z (fractional)
Fe: 0.000 0.500 0.000
Fe: 0.500 0.000 0.000
Cu: 0.000 0.000 0.500
Ru: 0.500 0.500 0.500

Calculated values
E_tot, eV per atom: -7.880

[20]
SrBrCl: relaxed, PBEsol.

a b c (Å): 5.038 5.038 5.038
angles (deg): 60.00 60.00 60.00
Element x y z (fractional)
Sr: 0.000 0.000 0.000
Br: 0.250 0.250 0.250
Cl: 0.750 0.750 0.750

Calculated values
Formation energy without anion corrections, eV/atom: -2.291